# PBE with a Hubbard U TlNiOs2O8, optimized geometry
data_TlNiOs2O8
_chemical_formula_sum 'Tl1 Ni1 Os2 O8'
_cell_length_a 5.4970
_cell_length_b 5.4970
_cell_length_c 7.8739
_cell_angle_alpha 90.00
_cell_angle_beta 90.00
_cell_angle_gamma 120.00
_symmetry_space_group_name_H-M 'P -3'
_symmetry_Int_Tables_number 147
_symmetry_space_group_name_Hall '-P 3'
loop_
_atom_site_label
_atom_site_type_symbol
_atom_site_fract_x
_atom_site_fract_y
_atom_site_fract_z
_atom_site_occupancy
Tl1 Tl 0.0000 0.0000 0.0000 1
Ni1 Ni 0.0000 0.0000 0.5000 1
Os1 Os 0.3333 0.6667 0.7203 1
O1 O 0.0599 0.3248 0.6569 1
O2 O 0.3333 0.6667 0.9457 1
# Calculated total energy ... -6.4515 eV/atom
# Total magnetic moment ... 5.04 μB/cell
# N(E_F) ... 10.0 states/eV per cell